No. 1
The following is a DFT calculation (GGA-PBE) of a geometry-optimized Hf2SiGePt2 structure.

a b c (Å): 10.6199 4.3348 10.6216
angles (deg): 90.00 109.46 90.00
Positions (direct):
Ge 0.6250 0.5000 0.6253
Ge 0.8744 0.5000 0.3741
Ge 0.3753 0.5000 0.8748
Ge 0.0005 0.0000 0.7506
Pt 0.6299 0.5000 0.8790
Pt 0.4964 0.0000 0.4966
Pt 0.7453 0.0000 0.2458
Pt 0.0013 0.0000 0.0056
Pt 0.3732 0.5000 0.1275
Pt 0.1280 0.5000 0.3745
Pt 0.2511 0.0000 0.7456
Pt 0.8744 0.5000 0.6246
Hf 0.7482 0.0000 0.4982
Hf 0.1253 0.5000 0.6233
Hf 0.2499 0.0000 0.0001
Hf 0.3744 0.5000 0.3745
Hf 0.6229 0.5000 0.1245
Hf 0.5022 0.0000 0.7503
Hf 0.8774 0.5000 0.8776
Hf 0.9999 0.0000 0.2515
Si 0.4988 0.0000 0.2495
Si 0.7506 0.0000 0.0008
Si 0.2504 0.0000 0.4996
Si 0.1252 0.5000 0.1259

Calculated total energy in eV/atom: -8.0148

=====

No. 2
The following is a DFT calculation (GGA-PBE) of a geometry-optimized NaSrTbTe3 structure.

a b c (Å): 15.0140 4.5434 11.6225
angles (deg): 90.00 90.00 90.00
Positions (direct):
Te 0.6504 0.2500 0.7417
Te 0.3779 0.7500 0.8727
Te 0.6041 0.7500 0.4281
Te 0.3959 0.2500 0.5719
Te 0.6221 0.2500 0.1273
Te 0.8959 0.2500 0.9281
Te 0.1504 0.2500 0.7583
Te 0.8779 0.7500 0.6273
Te 0.8496 0.7500 0.2417
Te 0.3496 0.7500 0.2583
Te 0.1041 0.7500 0.0719
Te 0.1221 0.2500 0.3727
Tb 0.5178 0.7500 0.6671
Tb 0.0178 0.7500 0.8328
Tb 0.4822 0.2500 0.3329
Tb 0.9822 0.2500 0.1671
Sr 0.2648 0.2500 0.0381
Sr 0.2352 0.7500 0.5381
Sr 0.7352 0.7500 0.9619
Sr 0.7648 0.2500 0.4619
Na 0.9971 0.7500 0.4102
Na 0.4971 0.7500 0.0898
Na 0.0029 0.2500 0.5898
Na 0.5029 0.2500 0.9102

E above lowest polymorph in eV/f.u.: 0.46

=====

No. 3
The following is a DFT calculation (GGA-PBE) of a geometry-optimized Sc2Ga4PdAu structure.

a b c (Å): 6.5416 5.4254 5.4254
angles (deg): 46.64 90.00 90.00
Positions (direct):
Au 0.0000 0.7956 0.7956
Ga 0.3025 0.6240 0.6240
Ga 0.7922 0.3751 0.3751
Ga 0.6975 0.6240 0.6240
Ga 0.2078 0.3751 0.3751
Sc 0.5000 0.9195 0.9195
Sc 0.0000 0.0828 0.0828
Pd 0.5000 0.2038 0.2038

Calculated total energy in eV/atom: -4.8223

=====

No. 4
The following is a DFT calculation (GGA-PBE) of a geometry-optimized GdUGa structure.

a b c (Å): 4.9152 4.9152 4.9152
angles (deg): 60.00 60.00 60.00
Last column: magnetic moment on the atom in μB.
Positions (direct):
Ga 0.0000 0.0000 0.0000  -0.03
U 0.7500 0.7500 0.7500  2.68
Gd 0.2500 0.2500 0.2500  0.38

E above lowest polymorph in eV/f.u.: 0.00

=====

Repeat the second record exactly.
The following is a DFT calculation (GGA-PBE) of a geometry-optimized NaSrTbTe3 structure.

a b c (Å): 15.0140 4.5434 11.6225
angles (deg): 90.00 90.00 90.00
Positions (direct):
Te 0.6504 0.2500 0.7417
Te 0.3779 0.7500 0.8727
Te 0.6041 0.7500 0.4281
Te 0.3959 0.2500 0.5719
Te 0.6221 0.2500 0.1273
Te 0.8959 0.2500 0.9281
Te 0.1504 0.2500 0.7583
Te 0.8779 0.7500 0.6273
Te 0.8496 0.7500 0.2417
Te 0.3496 0.7500 0.2583
Te 0.1041 0.7500 0.0719
Te 0.1221 0.2500 0.3727
Tb 0.5178 0.7500 0.6671
Tb 0.0178 0.7500 0.8328
Tb 0.4822 0.2500 0.3329
Tb 0.9822 0.2500 0.1671
Sr 0.2648 0.2500 0.0381
Sr 0.2352 0.7500 0.5381
Sr 0.7352 0.7500 0.9619
Sr 0.7648 0.2500 0.4619
Na 0.9971 0.7500 0.4102
Na 0.4971 0.7500 0.0898
Na 0.0029 0.2500 0.5898
Na 0.5029 0.2500 0.9102

E above lowest polymorph in eV/f.u.: 0.46

=====

Please write out number 1 again, unchanged.
The following is a DFT calculation (GGA-PBE) of a geometry-optimized Hf2SiGePt2 structure.

a b c (Å): 10.6199 4.3348 10.6216
angles (deg): 90.00 109.46 90.00
Positions (direct):
Ge 0.6250 0.5000 0.6253
Ge 0.8744 0.5000 0.3741
Ge 0.3753 0.5000 0.8748
Ge 0.0005 0.0000 0.7506
Pt 0.6299 0.5000 0.8790
Pt 0.4964 0.0000 0.4966
Pt 0.7453 0.0000 0.2458
Pt 0.0013 0.0000 0.0056
Pt 0.3732 0.5000 0.1275
Pt 0.1280 0.5000 0.3745
Pt 0.2511 0.0000 0.7456
Pt 0.8744 0.5000 0.6246
Hf 0.7482 0.0000 0.4982
Hf 0.1253 0.5000 0.6233
Hf 0.2499 0.0000 0.0001
Hf 0.3744 0.5000 0.3745
Hf 0.6229 0.5000 0.1245
Hf 0.5022 0.0000 0.7503
Hf 0.8774 0.5000 0.8776
Hf 0.9999 0.0000 0.2515
Si 0.4988 0.0000 0.2495
Si 0.7506 0.0000 0.0008
Si 0.2504 0.0000 0.4996
Si 0.1252 0.5000 0.1259

Calculated total energy in eV/atom: -8.0148

=====

What is the formula in the third record?
Sc2Ga4PdAu